1.
Below is a relaxed structure of CeZn3Ga3, with properties calculated at the PBE-GGA level.

```
data_CeZn3Ga3
_symmetry_space_group_name_H-M 'P 1'
_symmetry_Int_Tables_number 1
_symmetry_space_group_name_Hall 'P 1'
_cell_length_a 8.296
_cell_length_b 8.296
_cell_length_c 8.296
_cell_angle_alpha 60.00
_cell_angle_beta 60.00
_cell_angle_gamma 60.00
loop_
_atom_site_label
_atom_site_type_symbol
_atom_site_fract_x
_atom_site_fract_y
_atom_site_fract_z
Ce1 Ce 0.250 0.250 0.250
Ce2 Ce 0.750 0.750 0.750
Zn1 Zn 0.151 0.151 0.849
Zn2 Zn 0.151 0.849 0.151
Zn3 Zn 0.151 0.849 0.849
Zn4 Zn 0.849 0.151 0.151
Zn5 Zn 0.849 0.151 0.849
Zn6 Zn 0.849 0.849 0.151
Ga1 Ga 0.344 0.344 0.656
Ga2 Ga 0.344 0.656 0.344
Ga3 Ga 0.344 0.656 0.656
Ga4 Ga 0.656 0.344 0.344
Ga5 Ga 0.656 0.344 0.656
Ga6 Ga 0.656 0.656 0.344
```

Values from the calculation:
Energy relative to the lowest polymorph listed for this composition, meV/atom: 651
Space group: No. 225

2.
Below is a relaxed structure of CeZnGa, with properties calculated at the PBE-GGA level.

```
data_CeZnGa
_symmetry_space_group_name_H-M 'P 1'
_symmetry_Int_Tables_number 1
_symmetry_space_group_name_Hall 'P 1'
_cell_length_a 7.197
_cell_length_b 4.544
_cell_length_c 7.856
_cell_angle_alpha 90.00
_cell_angle_beta 90.00
_cell_angle_gamma 90.00
loop_
_atom_site_label
_atom_site_type_symbol
_atom_site_fract_x
_atom_site_fract_y
_atom_site_fract_z
Ce1 Ce 0.248 0.250 0.250
Ce2 Ce 0.252 0.750 0.750
Ce3 Ce 0.748 0.250 0.250
Ce4 Ce 0.752 0.750 0.750
Zn1 Zn 0.023 0.750 0.081
Zn2 Zn 0.477 0.250 0.581
Zn3 Zn 0.523 0.750 0.419
Zn4 Zn 0.977 0.250 0.919
Ga1 Ga 0.027 0.250 0.586
Ga2 Ga 0.473 0.750 0.086
Ga3 Ga 0.527 0.250 0.914
Ga4 Ga 0.973 0.750 0.414
```

Values from the calculation:
Space group: No. 62

3.
Below is a relaxed structure of CeZn2Ga2, with properties calculated at the PBE-GGA level.

```
data_CeZn2Ga2
_symmetry_space_group_name_H-M 'P 1'
_symmetry_Int_Tables_number 1
_symmetry_space_group_name_Hall 'P 1'
_cell_length_a 4.265
_cell_length_b 4.265
_cell_length_c 10.512
_cell_angle_alpha 90.00
_cell_angle_beta 90.00
_cell_angle_gamma 90.00
loop_
_atom_site_label
_atom_site_type_symbol
_atom_site_fract_x
_atom_site_fract_y
_atom_site_fract_z
Ce1 Ce 0.250 0.250 0.248
Ce2 Ce 0.750 0.750 0.752
Zn1 Zn 0.250 0.250 0.634
Zn2 Zn 0.250 0.750 0.000
Zn3 Zn 0.750 0.250 0.000
Zn4 Zn 0.750 0.750 0.366
Ga1 Ga 0.250 0.250 0.865
Ga2 Ga 0.250 0.750 0.500
Ga3 Ga 0.750 0.250 0.500
Ga4 Ga 0.750 0.750 0.135
```

Values from the calculation:
Space group: No. 129

4.
Below is a relaxed structure of Ce6Zn2Ga, with properties calculated at the PBE-GGA level.

```
data_Ce6Zn2Ga
_symmetry_space_group_name_H-M 'P 1'
_symmetry_Int_Tables_number 1
_symmetry_space_group_name_Hall 'P 1'
_cell_length_a 8.820
_cell_length_b 8.820
_cell_length_c 2.918
_cell_angle_alpha 90.00
_cell_angle_beta 90.00
_cell_angle_gamma 120.00
loop_
_atom_site_label
_atom_site_type_symbol
_atom_site_fract_x
_atom_site_fract_y
_atom_site_fract_z
Ce1 Ce 0.000 0.336 0.000
Ce2 Ce 0.000 0.664 0.000
Ce3 Ce 0.336 0.000 0.000
Ce4 Ce 0.336 0.336 0.000
Ce5 Ce 0.664 0.000 0.000
Ce6 Ce 0.664 0.664 0.000
Zn1 Zn 0.333 0.667 0.500
Zn2 Zn 0.667 0.333 0.500
Ga1 Ga 0.000 0.000 0.500
```

Values from the calculation:
Energy relative to the lowest polymorph listed for this composition, meV/atom: 0
Space group: No. 191

5.
Below is a relaxed structure of CeZnGa, with properties calculated at the PBE-GGA level.

```
data_CeZnGa
_symmetry_space_group_name_H-M 'P 1'
_symmetry_Int_Tables_number 1
_symmetry_space_group_name_Hall 'P 1'
_cell_length_a 6.229
_cell_length_b 6.229
_cell_length_c 6.229
_cell_angle_alpha 149.56
_cell_angle_beta 149.56
_cell_angle_gamma 43.58
loop_
_atom_site_label
_atom_site_type_symbol
_atom_site_fract_x
_atom_site_fract_y
_atom_site_fract_z
Ce1 Ce 0.000 0.000 0.000
Zn1 Zn 0.687 0.687 0.000
Ga1 Ga 0.311 0.311 0.000
```

Values from the calculation:
Space group: No. 107

6.
Below is a relaxed structure of CeZnGa, with properties calculated at the PBE-GGA level.

```
data_CeZnGa
_symmetry_space_group_name_H-M 'P 1'
_symmetry_Int_Tables_number 1
_symmetry_space_group_name_Hall 'P 1'
_cell_length_a 4.621
_cell_length_b 4.621
_cell_length_c 4.621
_cell_angle_alpha 60.00
_cell_angle_beta 60.00
_cell_angle_gamma 60.00
loop_
_atom_site_label
_atom_site_type_symbol
_atom_site_fract_x
_atom_site_fract_y
_atom_site_fract_z
Ce1 Ce 0.000 0.000 0.000
Zn1 Zn 0.250 0.250 0.250
Ga1 Ga 0.500 0.500 0.500
```

Values from the calculation:
Space group: No. 216

7.
Below is a relaxed structure of CeZn4Ga2, with properties calculated at the PBE-GGA level.

```
data_CeZn4Ga2
_symmetry_space_group_name_H-M 'P 1'
_symmetry_Int_Tables_number 1
_symmetry_space_group_name_Hall 'P 1'
_cell_length_a 7.562
_cell_length_b 7.562
_cell_length_c 4.131
_cell_angle_alpha 90.00
_cell_angle_beta 90.00
_cell_angle_gamma 147.99
loop_
_atom_site_label
_atom_site_type_symbol
_atom_site_fract_x
_atom_site_fract_y
_atom_site_fract_z
Ce1 Ce 0.000 0.000 0.000
Zn1 Zn 0.186 0.814 0.500
Zn2 Zn 0.309 0.691 0.000
Zn3 Zn 0.691 0.309 0.000
Zn4 Zn 0.814 0.186 0.500
Ga1 Ga 0.415 0.585 0.500
Ga2 Ga 0.585 0.415 0.500
```

Values from the calculation:
Space group: No. 65

8.
Below is a relaxed structure of CeZn2Ga, with properties calculated at the PBE-GGA level.

```
data_CeZn2Ga
_symmetry_space_group_name_H-M 'P 1'
_symmetry_Int_Tables_number 1
_symmetry_space_group_name_Hall 'P 1'
_cell_length_a 6.593
_cell_length_b 5.673
_cell_length_c 5.673
_cell_angle_alpha 47.62
_cell_angle_beta 90.00
_cell_angle_gamma 90.00
loop_
_atom_site_label
_atom_site_type_symbol
_atom_site_fract_x
_atom_site_fract_y
_atom_site_fract_z
Ce1 Ce 0.000 0.000 0.000
Ce2 Ce 0.500 0.207 0.207
Zn1 Zn 0.000 0.303 0.303
Zn2 Zn 0.308 0.482 0.482
Zn3 Zn 0.500 0.906 0.906
Zn4 Zn 0.692 0.482 0.482
Ga1 Ga 0.197 0.716 0.716
Ga2 Ga 0.803 0.716 0.716
```

Values from the calculation:
Space group: No. 38

9.
Below is a relaxed structure of CeZn2Ga, with properties calculated at the PBE-GGA level.

```
data_CeZn2Ga
_symmetry_space_group_name_H-M 'P 1'
_symmetry_Int_Tables_number 1
_symmetry_space_group_name_Hall 'P 1'
_cell_length_a 4.321
_cell_length_b 4.321
_cell_length_c 4.408
_cell_angle_alpha 90.00
_cell_angle_beta 90.00
_cell_angle_gamma 90.00
loop_
_atom_site_label
_atom_site_type_symbol
_atom_site_fract_x
_atom_site_fract_y
_atom_site_fract_z
Ce1 Ce 0.000 0.000 0.000
Zn1 Zn 0.000 0.500 0.500
Zn2 Zn 0.500 0.000 0.500
Ga1 Ga 0.500 0.500 0.000
```

Values from the calculation:
Space group: No. 123

10.
Below is a relaxed structure of CeZnGa4, with properties calculated at the PBE-GGA level.

```
data_CeZnGa4
_symmetry_space_group_name_H-M 'P 1'
_symmetry_Int_Tables_number 1
_symmetry_space_group_name_Hall 'P 1'
_cell_length_a 5.531
_cell_length_b 5.531
_cell_length_c 5.531
_cell_angle_alpha 60.00
_cell_angle_beta 60.00
_cell_angle_gamma 60.00
loop_
_atom_site_label
_atom_site_type_symbol
_atom_site_fract_x
_atom_site_fract_y
_atom_site_fract_z
Ce1 Ce 0.000 0.000 0.000
Zn1 Zn 0.250 0.250 0.250
Ga1 Ga 0.125 0.625 0.625
Ga2 Ga 0.625 0.125 0.625
Ga3 Ga 0.625 0.625 0.125
Ga4 Ga 0.625 0.625 0.625
```

Values from the calculation:
Space group: No. 216

Short version: energy of formation from the pure elements = 0.423, -0.443, -0.426, -0.155, -0.242, -0.297, -0.289, -0.367, -0.220, -0.165 eV/atom, in the order given.
Short version: DOS at the Fermi energy = 29.9, 18.8, 14.2, 22.4, 4.9, 6.5, 6.7, 12.2, 6.8, 8.9 states/eV/cell, in the order given.
Short version: energy = -2.2677, -3.8546, -3.3326, -4.7308, -3.6537, -3.7085, -2.7294, -3.2441, -3.0973, -3.3843 eV/atom, in the order given.